Here is a geometry-optimized Er3Hg2Au structure from the Alexandria database. Energies are from PBE.

abc: 5.155 5.155 6.327
angles: 90.00 90.00 120.00
Atoms (fractional coordinates):
1 Er 0.333 0.667 0.154
2 Er 0.000 0.000 0.500
3 Er 0.667 0.333 0.846
4 Au 0.000 0.000 0.000
5 Hg 0.333 0.667 0.656
6 Hg 0.667 0.333 0.344

Calculated values
Energy   -3.5398 eV per atom
Formation enthalpy at 0 K   -3.7 eV/f.u.
Fermi-level density of states   0.46 states/eV/atom